(1)
VASP calculation (PBE) on a relaxed Ba2InI crystal.

POSCAR file:
```
Ba2InI
1.0
0.0000 4.3862 4.3862
4.3862 0.0000 4.3862
4.3862 4.3862 0.0000
Ba In I
2 1 1
direct
0.2500 0.2500 0.2500 Ba
0.7500 0.7500 0.7500 Ba
0.0000 0.0000 0.0000 In
0.5000 0.5000 0.5000 I
```

Results
D(E_F), states/eV/atom: 0.90
Formation energy without anion corrections, eV/atom: -0.670
Space-group type: No. 225
Crystal system: cubic
Energy above the most stable polymorph in this dataset, meV per atom: 206



(2)
VASP calculation (PBE) on a relaxed ZrAg4 crystal.

POSCAR file:
```
ZrAg4
1.0
4.9420 -1.4491 0.0000
4.9420 1.4491 0.0000
-3.3695 0.0000 6.5299
Zr Ag
1 4
direct
0.0000 0.0000 0.0000 Zr
0.1965 0.1965 0.7964 Ag
0.3979 0.3979 0.5956 Ag
0.6021 0.6021 0.4044 Ag
0.8035 0.8035 0.2036 Ag
```

Results
D(E_F), states/eV/atom: 0.38
Space-group type: No. 12
Crystal system: monoclinic
E_form, eV per atom: 0.001



(3)
VASP calculation (PBE) on a relaxed IrPtS crystal.

POSCAR file:
```
IrPtS
1.0
3.4934 0.0000 0.0000
1.7076 5.1311 0.0000
0.9278 2.3279 5.4840
Ir Pt S
2 2 2
direct
0.1296 0.3390 0.3732 Ir
0.8704 0.6610 0.6268 Ir
0.4937 0.2877 0.9430 Pt
0.5063 0.7123 0.0570 Pt
0.3453 0.8716 0.3669 S
0.6547 0.1284 0.6331 S
```

Results
D(E_F), states/eV/atom: 0.26
Formation energy without anion corrections, eV/atom: -0.006
Space-group type: No. 2
Crystal system: triclinic
Energy above the most stable polymorph in this dataset, meV per atom: 18



(4)
VASP calculation (PBE) on a relaxed SiNi2Ir crystal.

POSCAR file:
```
SiNi2Ir
1.0
1.3631 0.7870 7.7670
-1.3631 0.7870 7.7670
0.0000 -1.5739 7.7670
Si Ni Ir
1 2 1
direct
0.0000 0.0000 0.0000 Si
0.2591 0.2591 0.2591 Ni
0.5071 0.5071 0.5071 Ni
0.7484 0.7484 0.7484 Ir
```

Results
D(E_F), states/eV/atom: 1.34
Formation energy without anion corrections, eV/atom: -0.140
Space-group type: No. 160
Crystal system: trigonal



(5)
VASP calculation (PBE) on a relaxed Tl3AuCl crystal.

POSCAR file:
```
Tl3AuCl
1.0
5.5979 0.0000 0.0000
0.0000 5.5979 0.0000
0.0000 0.0000 5.5979
Tl Au Cl
3 1 1
direct
0.0000 0.0000 0.5000 Tl
0.0000 0.5000 0.0000 Tl
0.5000 0.0000 0.0000 Tl
0.0000 0.0000 0.0000 Au
0.5000 0.5000 0.5000 Cl
```

Results
D(E_F), states/eV/atom: 0.28
Formation energy without anion corrections, eV/atom: -0.242
Space-group type: No. 221
Crystal system: cubic
Energy above the most stable polymorph in this dataset, meV per atom: 0



(6)
VASP calculation (PBE) on a relaxed Ti6Sn2Mo crystal.

POSCAR file:
```
Ti6Sn2Mo
1.0
-2.3183 3.0745 6.6893
2.3183 -3.0745 6.6893
2.3183 3.0745 -6.6893
Ti Sn Mo
6 2 1
direct
0.1036 0.3553 0.7483 Ti
0.2382 0.0000 0.2382 Ti
0.3931 0.6447 0.7483 Ti
0.6069 0.3553 0.2517 Ti
0.7618 0.0000 0.7618 Ti
0.8964 0.6447 0.2517 Ti
0.3208 0.8208 0.5000 Sn
0.6792 0.1792 0.5000 Sn
0.0000 0.5000 0.5000 Mo
```

Results
D(E_F), states/eV/atom: 1.42
Space-group type: No. 71
Crystal system: orthorhombic
E_form, eV per atom: 0.192